Cs3Ho3MnTe8 | the Alexandria database | PBE | relaxed; calculated density = 5.37 g/cm3; ΔE_f (raw) = -1.081 eV per atom
1.0
7.593 -4.380 0.000
7.593 4.380 0.000
-5.067 0.000 9.151
Cs Ho Mn Te
3 3 1 8
Cartesian
0.000 0.000 0.000
3.796 2.190 0.000
3.796 -2.190 0.000
1.263 2.190 4.576
1.263 -2.190 4.576
5.059 0.000 4.576
-2.534 0.000 4.576
-0.206 0.000 6.185
3.894 2.365 6.185
6.224 2.365 2.966
2.529 0.000 2.829
7.589 0.000 6.322
3.894 -2.365 6.185
6.224 -2.365 2.966
10.324 0.000 2.966

=====

CsHoTe3 | the Alexandria database | PBE | relaxed; calculated density = 5.53 g/cm3; ΔE_f (raw) = -0.973 eV per atom
1.0
17.010 0.000 0.000
0.000 6.736 0.000
0.000 0.000 7.141
Cs Ho Te
4 4 12
Cartesian
3.200 0.201 1.785
3.200 3.167 5.356
13.811 3.569 1.785
13.811 6.535 5.356
7.189 5.052 0.000
7.189 5.052 3.570
9.822 1.684 0.000
9.822 1.684 3.570
0.076 5.052 0.000
0.076 5.052 3.570
5.216 3.682 1.785
5.216 6.422 5.356
7.429 0.751 1.785
7.429 2.617 5.356
9.581 4.119 1.785
9.581 5.985 5.356
11.794 0.314 1.785
11.794 3.054 5.356
16.934 1.684 0.000
16.934 1.684 3.570

=====

Q: Which value of ΔE_f (raw) does entry 2 give?
A: -0.973 eV per atom

=====

Q: The lowest calculated density belongs to which entry?
A: Cs3Ho3MnTe8